Entry from Alexandria via LeMat-Bulk: a geometry-optimized TlCu2S2 structure (PBEsol).

Cell lengths 7.162, 7.162, 7.162 Å; angles 150.12, 150.12, 42.76 degrees
Atoms (fractional coordinates):
Tl (0.000, 0.000, 0.000)
Cu (0.250, 0.750, 0.500)
Cu (0.750, 0.250, 0.500)
S (0.355, 0.355, 0.000)
S (0.645, 0.645, 0.000)

Properties
Formation energy without anion corrections = -276 meV/atom
Density of states at the Fermi level = 2.594 states/eV per cell

---

Entry from Alexandria via LeMat-Bulk: a geometry-optimized TlCu4S3 structure (PBEsol).

Cell lengths 3.788, 3.788, 9.272 Å; angles 90.00, 90.00, 90.00 degrees
Atoms (fractional coordinates):
Tl (0.000, 0.000, 0.000)
Cu (0.000, 0.500, 0.340)
Cu (0.000, 0.500, 0.660)
Cu (0.500, 0.000, 0.340)
Cu (0.500, 0.000, 0.660)
S (0.000, 0.000, 0.500)
S (0.500, 0.500, 0.204)
S (0.500, 0.500, 0.796)

Properties
Formation energy without anion corrections = -232 meV/atom
Density of states at the Fermi level = 4.301 states/eV per cell

---

Entry from Alexandria via LeMat-Bulk: a geometry-optimized V2CuS4 structure (PBEsol).

Cell lengths 6.791, 6.791, 6.791 Å; angles 60.00, 60.00, 60.00 degrees
Atoms (fractional coordinates):
V (0.000, 0.000, 0.000)
V (0.000, 0.000, 0.500)
V (0.000, 0.500, 0.000)
V (0.500, 0.000, 0.000)
Cu (0.375, 0.375, 0.375)
Cu (0.625, 0.625, 0.625)
S (0.235, 0.755, 0.755)
S (0.245, 0.245, 0.245)
S (0.245, 0.245, 0.765)
S (0.245, 0.765, 0.245)
S (0.755, 0.235, 0.755)
S (0.755, 0.755, 0.235)
S (0.755, 0.755, 0.755)
S (0.765, 0.245, 0.245)

Properties
Formation energy without anion corrections = -809 meV/atom
Density of states at the Fermi level = 8.617 states/eV per cell

---

Entry from Alexandria via LeMat-Bulk: a geometry-optimized ZrVCuS4 structure (PBEsol).

Cell lengths 7.064, 7.064, 7.064 Å; angles 119.53, 119.10, 91.19 degrees
Atoms (fractional coordinates):
Zr (0.000, 0.000, 0.000)
Zr (0.500, 0.000, 0.500)
V (0.500, 0.000, 0.000)
V (0.500, 0.500, 0.500)
Cu (0.118, 0.368, 0.750)
Cu (0.882, 0.632, 0.250)
S (0.256, 0.257, 0.501)
S (0.256, 0.754, 0.999)
S (0.265, 0.744, 0.521)
S (0.278, 0.256, 0.021)
S (0.722, 0.744, 0.979)
S (0.735, 0.256, 0.479)
S (0.744, 0.246, 0.001)
S (0.744, 0.743, 0.499)

Properties
Formation energy without anion corrections = -1088 meV/atom
Density of states at the Fermi level = 7.660 states/eV per cell

---

Entry from Alexandria via LeMat-Bulk: a geometry-optimized Cu2WS4 structure (PBEsol).

Cell lengths 6.348, 6.348, 6.348 Å; angles 130.06, 130.06, 73.31 degrees
Atoms (fractional coordinates):
Cu (0.000, 0.500, 0.500)
Cu (0.500, 0.000, 0.500)
W (0.000, 0.000, 0.000)
S (0.114, 0.114, 0.481)
S (0.367, 0.886, 0.000)
S (0.633, 0.633, 0.519)
S (0.886, 0.367, 0.000)

Properties
Formation energy without anion corrections = -443 meV/atom
Energy above the most stable polymorph in this dataset = 0.000 eV per atom

---

Entry from Alexandria via LeMat-Bulk: a geometry-optimized Cu2WS4 structure (PBEsol).

Cell lengths 5.357, 5.357, 5.247 Å; angles 90.00, 90.00, 90.00 degrees
Atoms (fractional coordinates):
Cu (0.000, 0.500, 0.000)
Cu (0.500, 0.000, 0.000)
W (0.000, 0.000, 0.000)
S (0.240, 0.240, 0.754)
S (0.240, 0.760, 0.246)
S (0.760, 0.240, 0.246)
S (0.760, 0.760, 0.754)

Properties
Formation energy without anion corrections = -439 meV/atom
Energy above the most stable polymorph in this dataset = 0.004 eV per atom

---

Entry from Alexandria via LeMat-Bulk: a geometry-optimized CuWS2 structure (PBEsol).

Cell lengths 7.709, 7.709, 7.709 Å; angles 23.19, 23.19, 23.19 degrees
Atoms (fractional coordinates):
Cu (0.000, 0.000, 0.000)
W (0.500, 0.500, 0.500)
S (0.399, 0.399, 0.399)
S (0.601, 0.601, 0.601)

Properties
Formation energy without anion corrections = 317 meV/atom
Density of states at the Fermi level = 3.709 states/eV per cell

---

Entry from Alexandria via LeMat-Bulk: a geometry-optimized YCu2S2 structure (PBEsol).

Cell lengths 3.868, 3.868, 6.298 Å; angles 90.00, 90.00, 120.00 degrees
Atoms (fractional coordinates):
Y (0.000, 0.000, 0.000)
Cu (0.333, 0.667, 0.339)
Cu (0.667, 0.333, 0.661)
S (0.333, 0.667, 0.730)
S (0.667, 0.333, 0.270)

Properties
Formation energy without anion corrections = -880 meV/atom
Density of states at the Fermi level = 2.086 states/eV per cell